This record from Alexandria describes a relaxed structure of VSbPO2. The functional is GGA+U.

Cell lengths 3.935, 3.935, 5.295 Å; angles 90.00, 90.00, 90.00 degrees
Fractional positions:
V: 0.000 0.000 0.000
Sb: 0.500 0.500 0.500
P: 0.500 0.500 0.000
O: 0.000 0.500 0.500
O: 0.500 0.000 0.500

Computed properties:
**Theoretical density**: 4.8 g/cm³
**Total magnetization**: 2.86 μB per cell
**Relative energy among the computed polymorphs**: 0.391 eV/atom
**Crystal system**: tetragonal